A plane-wave DFT calculation with GGA-PBE was carried out for HfZnPb after structural relaxation.

Output
Polymorph energy (0 for the lowest one) (eV per atom): 0.019
Mass density (g/cm3): 11.7
Symmetry: P4/mmm, No. 123

Cell lengths 3.387, 3.387, 11.154 Å; angles 90.00, 90.00, 90.00 degrees
Atoms (fractional coordinates):
1 Hf 0.000 0.000 0.000
2 Hf 0.500 0.500 0.500
3 Zn 0.000 0.000 0.358
4 Zn 0.000 0.000 0.642
5 Pb 0.500 0.500 0.189
6 Pb 0.500 0.500 0.811

A plane-wave DFT calculation with GGA-PBE was carried out for Hf2ZnPb after structural relaxation.

Output
Mass density (g/cm3): 11.8
Symmetry: F-43m, No. 216
Total energy (eV per formula unit): -23.00

Cell lengths 5.000, 5.000, 5.000 Å; angles 60.00, 60.00, 60.00 degrees
Atoms (fractional coordinates):
1 Hf 0.000 0.000 0.000
2 Hf 0.250 0.250 0.250
3 Zn 0.750 0.750 0.750
4 Pb 0.500 0.500 0.500

A plane-wave DFT calculation with GGA-PBE was carried out for Hf2ZrPb2 after structural relaxation.

Output
Polymorph energy (0 for the lowest one) (eV per atom): 0.000
Mass density (g/cm3): 11.6
Symmetry: I4/mmm, No. 139

Cell lengths 7.255, 7.255, 7.255 Å; angles 145.26, 145.26, 49.95 degrees
Atoms (fractional coordinates):
1 Hf 0.250 0.750 0.500
2 Hf 0.750 0.250 0.500
3 Zr 0.000 0.000 0.000
4 Pb 0.395 0.395 0.000
5 Pb 0.605 0.605 0.000

A plane-wave DFT calculation with GGA-PBE was carried out for Hf2ZrPb2 after structural relaxation.

Output
Polymorph energy (0 for the lowest one) (eV per atom): 0.275
Mass density (g/cm3): 11.0
Symmetry: I4/mmm, No. 139

Cell lengths 7.814, 7.814, 7.814 Å; angles 148.42, 148.42, 45.26 degrees
Atoms (fractional coordinates):
1 Hf 0.094 0.094 0.000
2 Hf 0.906 0.906 0.000
3 Zr 0.500 0.500 0.000
4 Pb 0.250 0.750 0.500
5 Pb 0.750 0.250 0.500

A plane-wave DFT calculation with GGA-PBE was carried out for HfZrPb2 after structural relaxation.

Output
Mass density (g/cm3): 11.3
Symmetry: F-43m, No. 216
Total energy (eV per formula unit): -24.34

Cell lengths 5.217, 5.217, 5.217 Å; angles 60.00, 60.00, 60.00 degrees
Atoms (fractional coordinates):
1 Hf 0.000 0.000 0.000
2 Zr 0.250 0.250 0.250
3 Pb 0.500 0.500 0.500
4 Pb 0.750 0.750 0.750

A plane-wave DFT calculation with GGA-PBE was carried out for HfZr2Pb2 after structural relaxation.

Output
Polymorph energy (0 for the lowest one) (eV per atom): 0.000
Mass density (g/cm3): 10.8
Symmetry: P4/mbm, No. 127

Cell lengths 7.776, 7.776, 3.929 Å; angles 90.00, 90.00, 90.00 degrees
Atoms (fractional coordinates):
1 Hf 0.000 0.000 0.000
2 Hf 0.500 0.500 0.000
3 Zr 0.162 0.338 0.500
4 Zr 0.338 0.838 0.500
5 Zr 0.662 0.162 0.500
6 Zr 0.838 0.662 0.500
7 Pb 0.141 0.641 0.000
8 Pb 0.359 0.141 0.000
9 Pb 0.641 0.859 0.000
10 Pb 0.859 0.359 0.000

A plane-wave DFT calculation with GGA-PBE was carried out for HfZr2Pb2 after structural relaxation.

Output
Polymorph energy (0 for the lowest one) (eV per atom): 0.377
Mass density (g/cm3): 10.5
Symmetry: I4/mmm, No. 139

Cell lengths 7.317, 7.317, 7.317 Å; angles 145.97, 145.97, 48.90 degrees
Atoms (fractional coordinates):
1 Hf 0.000 0.000 0.000
2 Zr 0.250 0.750 0.500
3 Zr 0.750 0.250 0.500
4 Pb 0.398 0.398 0.000
5 Pb 0.602 0.602 0.000

A plane-wave DFT calculation with GGA-PBE was carried out for HfPd after structural relaxation.

Output
Mass density (g/cm3): 12.0
Symmetry: P6_3/mmc, No. 194
Total energy (eV per formula unit): -15.94

Cell lengths 3.697, 3.697, 6.678 Å; angles 90.00, 90.00, 120.00 degrees
Atoms (fractional coordinates):
1 Hf 0.000 0.000 0.000
2 Hf 0.000 0.000 0.500
3 Pd 0.333 0.667 0.250
4 Pd 0.667 0.333 0.750

Number 1: magnetization 0.0 μB per formula unit, V 64.0 Å³/f.u.. Number 2: magnetization 1.8 μB per formula unit, V 88.4 Å³/f.u.. Number 3: magnetization 0.0 μB per formula unit, V 123.4 Å³/f.u.. Number 4: magnetization 0.0 μB per formula unit, V 130.4 Å³/f.u.. Number 5: magnetization 1.9 μB per formula unit, V 100.4 Å³/f.u.. Number 6: magnetization 0.0 μB per formula unit, V 118.8 Å³/f.u.. Number 7: magnetization 0.0 μB per formula unit, V 122.2 Å³/f.u.. Number 8: magnetization 0.0 μB per formula unit, V 39.5 Å³/f.u..